Entry 1:
# PmGdSi | Alexandria via LeMat-Bulk | PBE | optimized geometry
# Formation energy from raw total energies: -299 meV/atom
# Energy relative to the lowest polymorph listed for this composition: 163 meV per atom
# DOS(E_F): 0.6160 states/eV/atom
data_PmGdSi
_chemical_formula_sum 'Pm1 Gd1 Si1'
_cell_length_a 4.6914
_cell_length_b 4.6914
_cell_length_c 4.1994
_cell_angle_alpha 90.00
_cell_angle_beta 90.00
_cell_angle_gamma 120.00
_space_group_name_H-M_alt 'P 3 m 1'
_space_group_IT_number 156
_space_group_name_Hall 'P 3 -2"'
loop_
_atom_site_label
_atom_site_type_symbol
_atom_site_fract_x
_atom_site_fract_y
_atom_site_fract_z
Pm1 Pm 0.0000 0.0000 0.0000
Gd1 Gd 0.6667 0.3333 0.4584
Si1 Si 0.3333 0.6667 0.6675

Entry 2:
# PmGd2Si | Alexandria via LeMat-Bulk | PBE | optimized geometry
# Formation energy from raw total energies: -23 meV/atom
# Energy relative to the lowest polymorph listed for this composition: 252 meV per atom
# DOS(E_F): 1.3864 states/eV/atom
data_PmGd2Si
_chemical_formula_sum 'Pm3 Gd6 Si3'
_cell_length_a 4.8253
_cell_length_b 4.8253
_cell_length_c 16.7245
_cell_angle_alpha 90.00
_cell_angle_beta 90.00
_cell_angle_gamma 120.00
_space_group_name_H-M_alt 'R -3 m'
_space_group_IT_number 166
_space_group_name_Hall '-R 3 2"'
loop_
_atom_site_label
_atom_site_type_symbol
_atom_site_fract_x
_atom_site_fract_y
_atom_site_fract_z
Pm1 Pm 0.0000 0.0000 0.0000
Gd1 Gd 0.0000 0.0000 0.2264
Si1 Si 0.0000 0.0000 0.5000